Record 1
Density functional theory data (PBE) for a relaxed HoEr5Tm2Sc crystal.

Lattice parameters (Å, degrees): 5.467 19.639 10.266 90.00 90.00 90.00
Space group Cmc2_1 (No. 36)
Inequivalent atoms, fractional coordinates:
Ho: 0.000 0.090 0.000 [4 per cell]
Er: 0.000 0.019 0.284 [4 per cell]
Er: 0.000 0.121 0.566 [4 per cell]
Er: 0.000 0.200 0.250 [4 per cell]
Er: 0.000 0.224 0.864 [4 per cell]
Er: 0.000 0.483 0.563 [4 per cell]
Tm: 0.000 0.387 0.282 [4 per cell]
Tm: 0.000 0.389 0.857 [4 per cell]
Sc: 0.000 0.304 0.559 [4 per cell]

Summary:
For the formation energy, the calculation gives 172 meV per atom. Its density of states at the Fermi level is 15.4 states/eV/f.u.

Record 2
Density functional theory data (PBE) for a relaxed CsCa2LaIr crystal.

Lattice parameters (Å, degrees): 5.960 5.960 5.547 90.00 90.00 90.00
Space group P4/mmm (No. 123)
Inequivalent atoms, fractional coordinates:
Cs: 0.000 0.000 0.000 [1 per cell]
Ca: 0.000 0.500 0.500 [2 per cell]
La: 0.500 0.500 0.000 [1 per cell]
Ir: 0.500 0.500 0.500 [1 per cell]

Summary:
For the formation energy, the calculation gives -145 meV per atom. Its density of states at the Fermi level is 4.3 states/eV/f.u.

Record 3
Density functional theory data (PBE) for a relaxed CeSc4PbS8 crystal.

Lattice parameters (Å, degrees): 7.7247 7.7247 20.0692 90.00 90.00 120.00
Space group R3m (No. 160, hexagonal axes)
Inequivalent atoms, fractional coordinates:
Ce: 0.0000 0.0000 0.0000 [3 per cell]
Sc: 0.0000 0.0000 0.6259 [3 per cell]
Sc: 0.9999 0.4999 0.4984 [9 per cell]
Pb: 0.0000 0.0000 0.3673 [3 per cell]
S: 0.0000 0.0000 0.2278 [3 per cell]
S: 0.0000 0.0000 0.7560 [3 per cell]
S: 0.0283 0.5141 0.7619 [9 per cell]
S: 0.1702 0.3405 0.5751 [9 per cell]

Summary:
Its density of states at the Fermi level is 11.7 states/eV/f.u. Its raw formation energy is -1.6204 eV/atom.

Short version: volume = 30.62; 39.41; 24.69 A^3/atom, in the order given.
Short version: magnetic moment = 0.00; 0.00; 1.62 μB/f.u., in the order given.